*A*
## RbPRh3 (PBE)

Data for crystalline RbPRh3 at its relaxed geometry.

Cell lengths 4.8106, 4.8106, 4.8106 Å; angles 90.00, 90.00, 90.00 degrees
Closest atoms and distances in Å follow each position.
Positions (direct):
Rb: 0.0000 0.0000 0.0000  6 Rh 2.41
P: 0.5000 0.5000 0.5000  12 Rh 3.40
Rh: 0.0000 0.0000 0.5000  2 Rb 2.41
Rh: 0.0000 0.5000 0.0000  2 Rb 2.41
Rh: 0.5000 0.0000 0.0000  2 Rb 2.41

Properties
Its density of states at the Fermi level is 2.07 states/eV per atom.

*B*
## RbPRh3 (PBE)

Data for crystalline RbPRh3 at its relaxed geometry.

Cell lengths 4.5623, 4.5623, 4.5623 Å; angles 90.00, 90.00, 90.00 degrees
Closest atoms and distances in Å follow each position.
Positions (direct):
Rb: 0.0000 0.0000 0.0000  12 Rh 3.23
P: 0.5000 0.5000 0.5000  6 Rh 2.28
Rh: 0.0000 0.5000 0.5000  2 P 2.28
Rh: 0.5000 0.0000 0.5000  2 P 2.28
Rh: 0.5000 0.5000 0.0000  2 P 2.28

Properties
Its density of states at the Fermi level is 1.14 states/eV per atom.

Tell me which of them is the most stable. Sure, it is *B*.